# FeCo3Ir2

FeCo3Ir2 after structural relaxation (GGA-PBE, Alexandria via LeMat-Bulk).

Properties
ΔE_f: 0.11 eV/atom
crystal system: monoclinic
size of the total moment: 8.31 μB/f.u.
SG: C2/c
raw total energy: -7.81 eV per atom

Lattice parameters (Å, degrees): 6.688 4.376 6.519 70.32 120.86 90.00
Fractional positions:
Fe1 0.000 0.500 0.000
Fe2 0.000 0.000 0.000
Co1 0.372 0.250 0.000
Co2 0.628 0.750 0.000
Co3 0.696 0.965 0.570
Co4 0.127 0.535 0.430
Co5 0.304 0.035 0.430
Co6 0.873 0.465 0.570
Ir1 0.576 0.380 0.742
Ir2 0.834 0.120 0.258
Ir3 0.166 0.880 0.742
Ir4 0.424 0.620 0.258